1.
The following is a DFT calculation (PBE) of a geometry-optimized Ni3BSb structure.

a b c (Å): 3.952 3.952 3.952
angles (deg): 90.00 90.00 90.00
Positions (direct):
Ni1 0.000 0.000 0.500
Ni2 0.000 0.500 0.000
Ni3 0.500 0.000 0.000
B1 0.000 0.000 0.000
Sb1 0.500 0.500 0.500

DOS at the Fermi energy = 2.60 states/eV per cell
total moment = 0.0 μB per cell
energy relative to the lowest polymorph listed for this composition = 0 meV/atom
symmetry = No. 221
E_form (uncorrected) = -73 meV per atom



2.
The following is a DFT calculation (PBE) of a geometry-optimized MgCu2GeC structure.

a b c (Å): 4.669 4.669 3.969
angles (deg): 90.00 90.00 90.00
Positions (direct):
Mg1 0.000 0.000 0.000
Cu1 0.000 0.500 0.000
Cu2 0.500 0.000 0.000
Ge1 0.500 0.500 0.500
C1 0.000 0.000 0.500

DOS at the Fermi energy = 1.25 states/eV per cell
formation energy from the elements = 1.5083 eV/atom
total moment = 0.0 μB per cell
symmetry = No. 123



3.
The following is a DFT calculation (PBE) of a geometry-optimized TlCo2Rh2 structure.

a b c (Å): 7.355 7.355 2.819
angles (deg): 90.00 90.00 90.00
Positions (direct):
Tl1 0.000 0.000 0.000
Tl2 0.500 0.500 0.000
Co1 0.160 0.340 0.500
Co2 0.340 0.840 0.500
Co3 0.660 0.160 0.500
Co4 0.840 0.660 0.500
Rh1 0.132 0.632 0.000
Rh2 0.368 0.132 0.000
Rh3 0.632 0.868 0.000
Rh4 0.868 0.368 0.000

DOS at the Fermi energy = 15.59 states/eV per cell
formation energy from the elements = 0.2991 eV/atom
total moment = 10.1 μB per cell
energy relative to the lowest polymorph listed for this composition = 27 meV/atom
symmetry = No. 127



4.
The following is a DFT calculation (PBE) of a geometry-optimized Tm2UN structure.

a b c (Å): 3.230 3.230 28.047
angles (deg): 90.00 90.00 120.00
Positions (direct):
Tm1 0.000 0.000 0.118
Tm2 0.000 0.000 0.882
Tm3 0.333 0.667 0.549
Tm4 0.333 0.667 0.785
Tm5 0.667 0.333 0.215
Tm6 0.667 0.333 0.451
U1 0.000 0.000 0.000
U2 0.333 0.667 0.667
U3 0.667 0.333 0.333
N1 0.000 0.000 0.500
N2 0.333 0.667 0.167
N3 0.667 0.333 0.833

DOS at the Fermi energy = 18.61 states/eV per cell
total moment = 5.6 μB per cell
symmetry = No. 166
E_form (uncorrected) = -479 meV per atom



5.
The following is a DFT calculation (PBE) of a geometry-optimized BaWBr2 structure.

a b c (Å): 8.025 8.025 8.025
angles (deg): 90.00 90.00 90.00
Positions (direct):
Ba1 0.000 0.000 0.000
Ba2 0.000 0.500 0.500
Ba3 0.500 0.000 0.500
Ba4 0.500 0.500 0.000
W1 0.250 0.250 0.250
W2 0.250 0.750 0.750
W3 0.750 0.250 0.750
W4 0.750 0.750 0.250
Br1 0.000 0.000 0.500
Br2 0.000 0.500 0.000
Br3 0.250 0.250 0.750
Br4 0.250 0.750 0.250
Br5 0.500 0.000 0.000
Br6 0.500 0.500 0.500
Br7 0.750 0.250 0.250
Br8 0.750 0.750 0.750

DOS at the Fermi energy = 11.07 states/eV per cell
total moment = 24.0 μB per cell
energy relative to the lowest polymorph listed for this composition = 407 meV/atom
symmetry = No. 216
E_form (uncorrected) = 456 meV per atom



6.
The following is a DFT calculation (PBE) of a geometry-optimized Hf2TiBe2Rh5 structure.

a b c (Å): 9.331 9.331 3.264
angles (deg): 90.00 90.00 90.00
Positions (direct):
Hf1 0.174 0.326 0.000
Hf2 0.326 0.826 0.000
Hf3 0.674 0.174 0.000
Hf4 0.826 0.674 0.000
Ti1 0.000 0.000 0.000
Ti2 0.500 0.500 0.000
Be1 0.121 0.621 0.000
Be2 0.379 0.121 0.000
Be3 0.621 0.879 0.000
Be4 0.879 0.379 0.000
Rh1 0.000 0.500 0.500
Rh2 0.071 0.789 0.500
Rh3 0.211 0.071 0.500
Rh4 0.289 0.571 0.500
Rh5 0.429 0.289 0.500
Rh6 0.500 0.000 0.500
Rh7 0.571 0.711 0.500
Rh8 0.711 0.429 0.500
Rh9 0.789 0.929 0.500
Rh10 0.929 0.211 0.500

DOS at the Fermi energy = 8.71 states/eV per cell
formation energy from the elements = -0.8885 eV/atom
total moment = 0.0 μB per cell
symmetry = No. 127



7.
The following is a DFT calculation (PBE) of a geometry-optimized LiAs2Pt structure.

a b c (Å): 9.231 3.076 4.666
angles (deg): 90.00 97.34 90.00
Positions (direct):
Li1 0.000 0.000 0.000
Li2 0.500 0.500 0.000
As1 0.249 0.000 0.809
As2 0.485 0.000 0.485
As3 0.749 0.500 0.809
As4 0.985 0.500 0.485
Pt1 0.255 0.500 0.274
Pt2 0.755 0.000 0.274

DOS at the Fermi energy = 2.82 states/eV per cell
formation energy from the elements = -0.2548 eV/atom
total moment = 0.0 μB per cell
symmetry = No. 8



8.
The following is a DFT calculation (PBE) of a geometry-optimized Nd8Te4HSe3 structure.

a b c (Å): 8.733 8.733 8.733
angles (deg): 58.83 58.83 58.83
Positions (direct):
Nd1 0.240 0.240 0.240
Nd2 0.248 0.735 0.735
Nd3 0.265 0.265 0.752
Nd4 0.265 0.752 0.265
Nd5 0.735 0.248 0.735
Nd6 0.735 0.735 0.248
Nd7 0.752 0.265 0.265
Nd8 0.760 0.760 0.760
Te1 0.000 0.000 0.000
Te2 0.000 0.500 0.500
Te3 0.500 0.000 0.500
Te4 0.500 0.500 0.000
H1 0.500 0.500 0.500
Se1 0.000 0.000 0.500
Se2 0.000 0.500 0.000
Se3 0.500 0.000 0.000

DOS at the Fermi energy = 8.45 states/eV per cell
total moment = 0.0 μB per cell
final energy = -5.436 eV/atom
symmetry = No. 166